# 1
VASP calculation (PBE) on an optimized crystal structure of SrCdIn2Pt.

- excess energy over the best structure of this formula in the dataset (meV/atom) = 0
- Fermi-level density of states (states/eV/f.u.) = 2.95
- energy of formation from the pure elements (meV per atom) = -341
- calculated volume (Å³ per cell) = 159
- M_tot (μB per formula unit) = 0.00

Cell: 5.2074 5.2074 5.8465 Å, 90.00 90.00 90.00°
Positions (direct):
Sr  0.0000  0.0000  0.0000
Cd  0.5000  0.5000  0.0000
In  0.0000  0.5000  0.5000
In  0.5000  0.0000  0.5000
Pt  0.0000  0.0000  0.5000

***

# 2
VASP calculation (PBE) on an optimized crystal structure of Sr2CdIn2Pt5.

- Fermi-level density of states (states/eV/f.u.) = 3.28
- energy of formation from the pure elements (meV per atom) = -500
- calculated volume (Å³ per cell) = 425
- M_tot (μB per formula unit) = 0.00

Cell: 10.6562 10.6562 3.7468 Å, 90.00 90.00 90.00°
Positions (direct):
Sr  0.1723  0.3277  0.0000
Sr  0.3277  0.8277  0.0000
Sr  0.6723  0.1723  0.0000
Sr  0.8277  0.6723  0.0000
Cd  0.0000  0.0000  0.0000
Cd  0.5000  0.5000  0.0000
In  0.1287  0.6287  0.0000
In  0.3713  0.1287  0.0000
In  0.6287  0.8713  0.0000
In  0.8713  0.3713  0.0000
Pt  0.0000  0.5000  0.5000
Pt  0.0580  0.8060  0.5000
Pt  0.1940  0.0580  0.5000
Pt  0.3060  0.5580  0.5000
Pt  0.4420  0.3060  0.5000
Pt  0.5000  0.0000  0.5000
Pt  0.5580  0.6940  0.5000
Pt  0.6940  0.4420  0.5000
Pt  0.8060  0.9420  0.5000
Pt  0.9420  0.1940  0.5000

***

# 3
VASP calculation (PBE) on an optimized crystal structure of Sr2CdInPt.

- Fermi-level density of states (states/eV/f.u.) = 3.19
- energy of formation from the pure elements (meV per atom) = -460
- calculated volume (Å³ per cell) = 178
- M_tot (μB per formula unit) = 0.00

Cell: 5.8627 5.8627 5.1745 Å, 90.00 90.00 90.00°
Positions (direct):
Sr  0.0000  0.5000  0.0000
Sr  0.5000  0.0000  0.0000
Cd  0.0000  0.0000  0.5000
In  0.5000  0.5000  0.5000
Pt  0.5000  0.5000  0.0000

***

# 4
VASP calculation (PBE) on an optimized crystal structure of Sr2CdInPt6.

- Fermi-level density of states (states/eV/f.u.) = 7.12
- energy of formation from the pure elements (meV per atom) = 164
- calculated volume (Å³ per cell) = 256
- M_tot (μB per formula unit) = 0.00

Cell: 7.1279 7.1279 7.1279 Å, 60.00 60.00 60.00°
Positions (direct):
Sr  0.2500  0.2500  0.2500
Sr  0.7500  0.7500  0.7500
Cd  0.0000  0.0000  0.0000
In  0.5000  0.5000  0.5000
Pt  0.2510  0.2510  0.7490
Pt  0.2510  0.7490  0.2510
Pt  0.2510  0.7490  0.7490
Pt  0.7490  0.2510  0.2510
Pt  0.7490  0.2510  0.7490
Pt  0.7490  0.7490  0.2510

***

# 5
VASP calculation (PBE) on an optimized crystal structure of Sr2CdIn4Pt3.

- Fermi-level density of states (states/eV/f.u.) = 5.16
- energy of formation from the pure elements (meV per atom) = -586
- calculated volume (Å³ per cell) = 245
- M_tot (μB per formula unit) = 0.00

Cell: 4.5163 4.5163 12.0058 Å, 90.00 90.00 90.00°
Positions (direct):
Sr  0.0000  0.5000  0.2405
Sr  0.5000  0.0000  0.7595
Cd  0.0000  0.0000  0.5000
In  0.0000  0.0000  0.0000
In  0.0000  0.5000  0.6417
In  0.5000  0.0000  0.3583
In  0.5000  0.5000  0.0000
Pt  0.0000  0.5000  0.8661
Pt  0.5000  0.0000  0.1339
Pt  0.5000  0.5000  0.5000

***

# 6
VASP calculation (PBE) on an optimized crystal structure of SrCd2InPt.

- Fermi-level density of states (states/eV/f.u.) = 2.74
- energy of formation from the pure elements (meV per atom) = -326
- calculated volume (Å³ per cell) = 144
- M_tot (μB per formula unit) = 0.00

Cell: 5.2811 5.2811 5.1640 Å, 90.00 90.00 90.00°
Positions (direct):
Sr  0.0000  0.0000  0.0000
Cd  0.0000  0.5000  0.5000
Cd  0.5000  0.0000  0.5000
In  0.5000  0.5000  0.0000
Pt  0.5000  0.5000  0.5000

***

# 7
VASP calculation (PBE) on an optimized crystal structure of SrCdInPt3.

- Fermi-level density of states (states/eV/f.u.) = 2.65
- energy of formation from the pure elements (meV per atom) = -368
- calculated volume (Å³ per cell) = 301
- M_tot (μB per formula unit) = 0.00

Cell: 9.4739 9.4739 5.7689 Å, 90.00 90.00 144.47°
Positions (direct):
Sr  0.2219  0.7781  0.7500
Sr  0.7781  0.2219  0.2500
Cd  0.3912  0.6088  0.2500
Cd  0.6088  0.3912  0.7500
In  0.0958  0.9042  0.2500
In  0.9042  0.0958  0.7500
Pt  0.2424  0.7576  0.2500
Pt  0.2613  0.2613  0.0000
Pt  0.2613  0.2613  0.5000
Pt  0.7387  0.7387  0.0000
Pt  0.7387  0.7387  0.5000
Pt  0.7576  0.2424  0.7500

***

# 8
VASP calculation (PBE) on an optimized crystal structure of ThCdInPt.

- Fermi-level density of states (states/eV/f.u.) = 1.86
- energy of formation from the pure elements (meV per atom) = -531
- calculated volume (Å³ per cell) = 92
- M_tot (μB per formula unit) = 0.00

Cell: 5.0669 5.0669 5.0669 Å, 60.00 60.00 60.00°
Positions (direct):
Th  0.0000  0.0000  0.0000
Cd  0.7500  0.7500  0.7500
In  0.5000  0.5000  0.5000
Pt  0.2500  0.2500  0.2500

***

# 9
VASP calculation (PBE) on an optimized crystal structure of TiCdInPt.

- Fermi-level density of states (states/eV/f.u.) = 2.82
- energy of formation from the pure elements (meV per atom) = -280
- calculated volume (Å³ per cell) = 73
- M_tot (μB per formula unit) = 0.00

Cell: 4.6957 4.6957 4.6957 Å, 60.00 60.00 60.00°
Positions (direct):
Ti  0.0000  0.0000  0.0000
Cd  0.2500  0.2500  0.2500
In  0.5000  0.5000  0.5000
Pt  0.7500  0.7500  0.7500

***

# 10
VASP calculation (PBE) on an optimized crystal structure of Zn2Cd2InPt5.

- Fermi-level density of states (states/eV/f.u.) = 3.43
- energy of formation from the pure elements (meV per atom) = -376
- calculated volume (Å³ per cell) = 343
- M_tot (μB per formula unit) = 0.00

Cell: 9.3614 9.3614 3.9164 Å, 90.00 90.00 90.00°
Positions (direct):
Zn  0.1246  0.3754  0.0000
Zn  0.3754  0.8754  0.0000
Zn  0.6246  0.1246  0.0000
Zn  0.8754  0.6246  0.0000
Cd  0.1719  0.6719  0.0000
Cd  0.3281  0.1719  0.0000
Cd  0.6719  0.8281  0.0000
Cd  0.8281  0.3281  0.0000
In  0.0000  0.0000  0.0000
In  0.5000  0.5000  0.0000
Pt  0.0000  0.5000  0.5000
Pt  0.0799  0.2003  0.5000
Pt  0.2003  0.9201  0.5000
Pt  0.2997  0.4201  0.5000
Pt  0.4201  0.7003  0.5000
Pt  0.5000  0.0000  0.5000
Pt  0.5799  0.2997  0.5000
Pt  0.7003  0.5799  0.5000
Pt  0.7997  0.0799  0.5000
Pt  0.9201  0.7997  0.5000

***

# 11
VASP calculation (PBE) on an optimized crystal structure of Zn2CdIn2Pt5.

- Fermi-level density of states (states/eV/f.u.) = 2.47
- energy of formation from the pure elements (meV per atom) = -348
- calculated volume (Å³ per cell) = 345
- M_tot (μB per formula unit) = 0.00

Cell: 9.3470 9.3470 3.9499 Å, 90.00 90.00 90.00°
Positions (direct):
Zn  0.1242  0.3758  0.0000
Zn  0.3758  0.8758  0.0000
Zn  0.6242  0.1242  0.0000
Zn  0.8758  0.6242  0.0000
Cd  0.0000  0.0000  0.0000
Cd  0.5000  0.5000  0.0000
In  0.1727  0.6727  0.0000
In  0.3273  0.1727  0.0000
In  0.6727  0.8273  0.0000
In  0.8273  0.3273  0.0000
Pt  0.0000  0.5000  0.5000
Pt  0.0881  0.1967  0.5000
Pt  0.1967  0.9119  0.5000
Pt  0.3033  0.4119  0.5000
Pt  0.4119  0.6967  0.5000
Pt  0.5000  0.0000  0.5000
Pt  0.5881  0.3033  0.5000
Pt  0.6967  0.5881  0.5000
Pt  0.8033  0.0881  0.5000
Pt  0.9119  0.8033  0.5000

***

# 12
VASP calculation (PBE) on an optimized crystal structure of Pu2CdIn.

- excess energy over the best structure of this formula in the dataset (meV/atom) = 87
- Fermi-level density of states (states/eV/f.u.) = 16.03
- energy of formation from the pure elements (meV per atom) = -19
- calculated volume (Å³ per cell) = 105
- M_tot (μB per formula unit) = 12.09

Cell: 4.1345 4.1345 6.1476 Å, 90.00 90.00 90.00°
Positions (direct):
Pu  0.0000  0.0000  0.2484
Pu  0.0000  0.0000  0.7516
Cd  0.5000  0.5000  0.5000
In  0.5000  0.5000  0.0000

***

# 13
VASP calculation (PBE) on an optimized crystal structure of PuCd23In6.

- Fermi-level density of states (states/eV/f.u.) = 18.37
- energy of formation from the pure elements (meV per atom) = 33
- calculated volume (Å³ per cell) = 735
- M_tot (μB per formula unit) = 5.64

Cell: 10.1314 10.1314 10.1314 Å, 60.00 60.00 60.00°
Positions (direct):
Pu  0.0000  0.0000  0.0000
Cd  0.0000  0.0000  0.5000
Cd  0.0000  0.5000  0.0000
Cd  0.0000  0.5000  0.5000
Cd  0.1193  0.6269  0.6269
Cd  0.1454  0.1454  0.1454
Cd  0.1454  0.1454  0.5637
Cd  0.1454  0.5637  0.1454
Cd  0.3731  0.3731  0.3731
Cd  0.3731  0.3731  0.8807
Cd  0.3731  0.8807  0.3731
Cd  0.4363  0.8546  0.8546
Cd  0.5000  0.0000  0.0000
Cd  0.5000  0.0000  0.5000
Cd  0.5000  0.5000  0.0000
Cd  0.5000  0.5000  0.5000
Cd  0.5637  0.1454  0.1454
Cd  0.6269  0.1193  0.6269
Cd  0.6269  0.6269  0.1193
Cd  0.6269  0.6269  0.6269
Cd  0.8546  0.4363  0.8546
Cd  0.8546  0.8546  0.4363
Cd  0.8546  0.8546  0.8546
Cd  0.8807  0.3731  0.3731
In  0.2329  0.2329  0.7671
In  0.2329  0.7671  0.2329
In  0.2329  0.7671  0.7671
In  0.7671  0.2329  0.2329
In  0.7671  0.2329  0.7671
In  0.7671  0.7671  0.2329

***

# 14
VASP calculation (PBE) on an optimized crystal structure of PuCd11In.

- Fermi-level density of states (states/eV/f.u.) = 18.11
- energy of formation from the pure elements (meV per atom) = -6
- calculated volume (Å³ per cell) = 305
- M_tot (μB per formula unit) = 5.98

Cell: 7.7100 7.7100 7.6990 Å, 98.89 98.89 133.64°
Positions (direct):
Pu  0.0000  0.0000  0.0000
Cd  0.0000  0.5000  0.0000
Cd  0.0020  0.3560  0.3493
Cd  0.2945  0.5075  0.7897
Cd  0.3560  0.0020  0.3493
Cd  0.4925  0.7055  0.2103
Cd  0.5000  0.0000  0.0000
Cd  0.5000  0.5000  0.5000
Cd  0.5075  0.2945  0.7897
Cd  0.6440  0.9980  0.6507
Cd  0.7055  0.4925  0.2103
Cd  0.9980  0.6440  0.6507
In  0.0000  0.0000  0.5000

***

# 15
VASP calculation (PBE) on an optimized crystal structure of PuCd4In.

- excess energy over the best structure of this formula in the dataset (meV/atom) = 78
- Fermi-level density of states (states/eV/f.u.) = 14.88
- energy of formation from the pure elements (meV per atom) = 28
- calculated volume (Å³ per cell) = 150
- M_tot (μB per formula unit) = 5.87

Cell: 5.9701 5.9701 5.9701 Å, 60.00 60.00 60.00°
Positions (direct):
Pu  0.0000  0.0000  0.0000
Cd  0.3746  0.3746  0.3746
Cd  0.3746  0.3746  0.8761
Cd  0.3746  0.8761  0.3746
Cd  0.8761  0.3746  0.3746
In  0.7500  0.7500  0.7500

***

# 16
VASP calculation (PBE) on an optimized crystal structure of PuCdIn.

- excess energy over the best structure of this formula in the dataset (meV/atom) = 69
- Fermi-level density of states (states/eV/f.u.) = 5.58
- energy of formation from the pure elements (meV per atom) = -90
- calculated volume (Å³ per cell) = 74
- M_tot (μB per formula unit) = 5.71

Cell: 7.4327 7.4327 7.4327 Å, 154.81 154.81 35.92°
Positions (direct):
Pu  0.0000  0.0000  0.0000
Cd  0.6702  0.6702  0.0000
In  0.3292  0.3292  0.0000

***

# 17
VASP calculation (PBE) on an optimized crystal structure of PuCd4In.

- excess energy over the best structure of this formula in the dataset (meV/atom) = 0
- Fermi-level density of states (states/eV/f.u.) = 14.08
- energy of formation from the pure elements (meV per atom) = -50
- calculated volume (Å³ per cell) = 146
- M_tot (μB per formula unit) = 5.83

Cell: 7.0030 7.0030 4.7422 Å, 90.00 90.00 141.13°
Positions (direct):
Pu  0.0000  0.0000  0.0000
Cd  0.1686  0.8314  0.5000
Cd  0.3228  0.6772  0.0000
Cd  0.6772  0.3228  0.0000
Cd  0.8314  0.1686  0.5000
In  0.5000  0.5000  0.5000

***

# 18
VASP calculation (PBE) on an optimized crystal structure of Pu2CdIn.

- excess energy over the best structure of this formula in the dataset (meV/atom) = 0
- Fermi-level density of states (states/eV/f.u.) = 11.76
- energy of formation from the pure elements (meV per atom) = -106
- calculated volume (Å³ per cell) = 99
- M_tot (μB per formula unit) = 11.35

Cell: 4.4540 4.4540 4.9949 Å, 90.00 90.00 90.00°
Positions (direct):
Pu  0.0000  0.5000  0.0000
Pu  0.5000  0.0000  0.0000
Cd  0.0000  0.0000  0.5000
In  0.5000  0.5000  0.5000

***

# 19
VASP calculation (PBE) on an optimized crystal structure of PuCdIn.

- excess energy over the best structure of this formula in the dataset (meV/atom) = 257
- Fermi-level density of states (states/eV/f.u.) = 3.87
- energy of formation from the pure elements (meV per atom) = 98
- calculated volume (Å³ per cell) = 138
- M_tot (μB per formula unit) = 0.00

Cell: 5.7128 5.7128 7.6319 Å, 108.06 108.06 35.85°
Positions (direct):
Pu  0.1960  0.1960  0.0396
Pu  0.8040  0.8040  0.9604
Cd  0.4733  0.4733  0.7534
Cd  0.5267  0.5267  0.2466
In  0.1621  0.1621  0.5943
In  0.8379  0.8379  0.4057

***

# 20
VASP calculation (PBE) on an optimized crystal structure of PuCdIn5.

- Fermi-level density of states (states/eV/f.u.) = 12.08
- energy of formation from the pure elements (meV per atom) = -89
- calculated volume (Å³ per cell) = 185
- M_tot (μB per formula unit) = 5.71

Cell: 4.9565 4.9565 7.5366 Å, 90.00 90.00 90.00°
Positions (direct):
Pu  0.0000  0.0000  0.0000
Cd  0.0000  0.0000  0.5000
In  0.0000  0.5000  0.2794
In  0.0000  0.5000  0.7206
In  0.5000  0.0000  0.2794
In  0.5000  0.0000  0.7206
In  0.5000  0.5000  0.0000

***

# 21
VASP calculation (PBE) on an optimized crystal structure of Pu2CdIn4.

- Fermi-level density of states (states/eV/f.u.) = 24.87
- energy of formation from the pure elements (meV per atom) = 277
- calculated volume (Å³ per cell) = 213
- M_tot (μB per formula unit) = 12.41

Cell: 7.2644 7.2644 5.1362 Å, 90.00 90.00 128.14°
Positions (direct):
Pu  0.1176  0.8824  0.0000
Pu  0.8824  0.1176  0.0000
Cd  0.5000  0.5000  0.5000
In  0.2632  0.7368  0.5000
In  0.3819  0.6181  0.0000
In  0.6181  0.3819  0.0000
In  0.7368  0.2632  0.5000

***

# 22
VASP calculation (PBE) on an optimized crystal structure of Pu2CdIn.

- excess energy over the best structure of this formula in the dataset (meV/atom) = 6
- Fermi-level density of states (states/eV/f.u.) = 11.76
- energy of formation from the pure elements (meV per atom) = -100
- calculated volume (Å³ per cell) = 99
- M_tot (μB per formula unit) = 11.43

Cell: 5.9036 5.9036 3.1691 Å, 90.00 90.00 116.01°
Positions (direct):
Pu  0.0000  0.5000  0.0000
Pu  0.5000  0.0000  0.0000
Cd  0.0000  0.0000  0.5000
In  0.5000  0.5000  0.5000

***

# 23
VASP calculation (PBE) on an optimized crystal structure of PuCd3In2.

- Fermi-level density of states (states/eV/f.u.) = 18.08
- energy of formation from the pure elements (meV per atom) = 54
- calculated volume (Å³ per cell) = 155
- M_tot (μB per formula unit) = 6.01

Cell: 6.0068 6.0068 4.9667 Å, 90.00 90.00 120.00°
Positions (direct):
Pu  0.0000  0.0000  0.0000
Cd  0.0000  0.5000  0.5000
Cd  0.5000  0.0000  0.5000
Cd  0.5000  0.5000  0.5000
In  0.3333  0.6667  0.0000
In  0.6667  0.3333  0.0000